PPt3 after structural relaxation. Source: Alexandria, functional PBE.

Cell and atoms, written as POSCAR:
```
PPt3
1.0
4.4294 2.8991 7.0478
-0.8533 2.4630 8.4203
-1.3671 -5.2657 -6.9354
P Pt
2 6
Direct
0.6528 0.6528 0.0000 P
0.3472 0.3472 0.0000 P
0.0000 0.5000 0.5000 Pt
0.5000 0.0000 0.5000 Pt
0.7500 0.2500 0.5000 Pt
0.2500 0.7500 0.5000 Pt
0.8839 0.8839 0.0000 Pt
0.1161 0.1161 0.0000 Pt
```

Values from the calculation:
The raw total energy is -5.880 eV per atom. The calculation puts the formation enthalpy at 0 K at 0.003 eV/atom. The calculation puts the density of states at the Fermi level at 1.947 states/eV/f.u. The space group is I4/mmm. The density comes out at 16.29 g cm⁻³.

=====

Sm2CoGe4Pt3 after structural relaxation. Source: Alexandria, functional PBE.

Cell and atoms, written as POSCAR:
```
Sm2CoGe4Pt3
1.0
4.2454 0.0000 0.0000
0.0000 4.2454 0.0000
0.0000 0.0000 10.3106
Sm Co Ge Pt
2 1 4 3
Direct
0.5000 0.0000 0.2555 Sm
0.0000 0.5000 0.7445 Sm
0.5000 0.5000 0.5000 Co
0.5000 0.5000 0.0000 Ge
0.0000 0.0000 0.0000 Ge
0.5000 0.0000 0.6255 Ge
0.0000 0.5000 0.3745 Ge
0.0000 0.0000 0.5000 Pt
0.5000 0.0000 0.8653 Pt
0.0000 0.5000 0.1347 Pt
```

Values from the calculation:
The raw total energy is -6.147 eV per atom. The calculation puts the formation enthalpy at 0 K at -0.833 eV/atom. The calculation puts the density of states at the Fermi level at 4.924 states/eV/f.u. The space group is P-4m2. The density comes out at 11.04 g cm⁻³.

=====

Ca2SnS4 after structural relaxation. Source: Alexandria, functional PBE.

Cell and atoms, written as POSCAR:
```
Ca2SnS4
1.0
6.1868 -0.0131 0.0000
-2.1886 5.7867 0.0000
0.0000 0.0000 9.8010
Ca Sn S
4 2 8
Direct
0.5237 0.1450 0.2500 Ca
0.1450 0.5237 0.7500 Ca
0.7926 0.7926 0.5000 Ca
0.7926 0.7926 0.0000 Ca
0.0961 0.5465 0.2500 Sn
0.5465 0.0961 0.7500 Sn
0.0522 0.9250 0.2500 S
0.9250 0.0522 0.7500 S
0.5051 0.6216 0.2500 S
0.6216 0.5051 0.7500 S
0.8769 0.3522 0.4460 S
0.3522 0.8769 0.5540 S
0.8769 0.3522 0.0540 S
0.3522 0.8769 0.9460 S
```

Values from the calculation:
The raw total energy is -4.829 eV per atom. The calculation puts the density of states at the Fermi level at 0.000 states/eV/f.u. The space group is Ama2. The density comes out at 3.10 g cm⁻³.

=====

Th2Mg2Cd3 after structural relaxation. Source: Alexandria, functional PBE.

Cell and atoms, written as POSCAR:
```
Th2Mg2Cd3
1.0
-3.3811 -3.2178 2.1303
4.9562 -4.4882 1.0866
3.5223 5.9075 8.3350
Th Mg Cd
4 4 6
Direct
0.1427 0.2500 0.2853 Th
0.8573 0.7500 0.7147 Th
0.9684 0.2500 0.9368 Th
0.0316 0.7500 0.0632 Th
0.7052 0.9765 0.4103 Mg
0.2948 0.0235 0.5897 Mg
0.2948 0.4765 0.5897 Mg
0.7052 0.5235 0.4103 Mg
0.1880 0.7500 0.3761 Cd
0.8120 0.2500 0.6239 Cd
0.5679 0.4642 0.1359 Cd
0.4321 0.5358 0.8641 Cd
0.4321 0.9642 0.8641 Cd
0.5679 0.0358 0.1359 Cd
```

Values from the calculation:
The raw total energy is -3.021 eV per atom. The calculation puts the formation enthalpy at 0 K at -0.053 eV/atom. The calculation puts the density of states at the Fermi level at 6.754 states/eV/f.u. The space group is Cmcm. The density comes out at 7.74 g cm⁻³.

=====

AlHg5 after structural relaxation. Source: Alexandria, functional PBE.

Cell and atoms, written as POSCAR:
```
AlHg5
1.0
2.6180 -6.6098 0.0000
2.6180 6.6098 0.0000
0.0000 0.0000 4.2531
Al Hg
1 5
Direct
0.5000 0.5000 0.0000 Al
0.3477 0.6523 0.5000 Hg
0.1720 0.8280 0.0000 Hg
0.0000 0.0000 0.5000 Hg
0.8280 0.1720 0.0000 Hg
0.6523 0.3477 0.5000 Hg
```

Values from the calculation:
The raw total energy is -0.767 eV per atom. The calculation puts the formation enthalpy at 0 K at 0.109 eV/atom. The calculation puts the density of states at the Fermi level at 1.324 states/eV/f.u. The space group is Cmmm. The density comes out at 11.62 g cm⁻³.

=====

Pr5Ho12Tm2 after structural relaxation. Source: Alexandria, functional PBE.

Cell and atoms, written as POSCAR:
```
Pr5Ho12Tm2
1.0
9.0342 0.0000 0.0000
-4.5171 8.3057 3.2559
0.0000 0.6025 8.6629
Pr Ho Tm
5 12 2
Direct
0.2359 0.4717 0.7093 Pr
0.2893 0.5786 0.2221 Pr
0.0000 0.0000 0.5000 Pr
0.7107 0.4214 0.7779 Pr
0.7641 0.5283 0.2907 Pr
0.9553 0.9105 0.1812 Ho
0.0419 0.7112 0.9036 Ho
0.6693 0.7112 0.9036 Ho
0.1523 0.7471 0.4540 Ho
0.5948 0.7471 0.4540 Ho
0.4418 0.8836 0.7136 Ho
0.5582 0.1164 0.2864 Ho
0.8477 0.2529 0.5460 Ho
0.4052 0.2529 0.5460 Ho
0.9581 0.2888 0.0964 Ho
0.3307 0.2888 0.0964 Ho
0.0447 0.0895 0.8188 Ho
0.6733 0.0000 0.0000 Tm
0.3267 0.0000 0.0000 Tm
```

Values from the calculation:
The raw total energy is -4.410 eV per atom. The calculation puts the formation enthalpy at 0 K at 0.210 eV/atom. The calculation puts the density of states at the Fermi level at 29.031 states/eV/f.u. The space group is C2/m. The density comes out at 7.94 g cm⁻³.

=====

Zr2TeP after structural relaxation. Source: Alexandria, functional PBE.

Cell and atoms, written as POSCAR:
```
Zr2TeP
1.0
-1.8268 1.8370 6.4793
1.8268 -1.8370 6.4793
1.8268 1.8370 -6.4793
Zr Te P
2 1 1
Direct
0.0270 0.0270 0.0000 Zr
0.3096 0.8096 0.5000 Zr
0.7052 0.2052 0.5000 Te
0.4582 0.4582 0.0000 P
```

Values from the calculation:
The raw total energy is -7.441 eV per atom. The calculation puts the density of states at the Fermi level at 3.985 states/eV/f.u. The space group is Imm2. The density comes out at 6.51 g cm⁻³.

=====

CeErGa after structural relaxation. Source: Alexandria, functional PBE.

Cell and atoms, written as POSCAR:
```
CeErGa
1.0
3.5575 0.0000 0.0000
-1.7787 4.9482 -0.1186
0.0000 -1.5989 8.6372
Ce Er Ga
2 2 2
Direct
0.3573 0.7145 0.0579 Ce
0.6427 0.2855 0.9421 Ce
0.8380 0.6760 0.3837 Er
0.1620 0.3240 0.6163 Er
0.8985 0.7971 0.7574 Ga
0.1015 0.2029 0.2426 Ga
```

Values from the calculation:
The raw total energy is -4.762 eV per atom. The calculation puts the formation enthalpy at 0 K at -0.254 eV/atom. The calculation puts the density of states at the Fermi level at 4.763 states/eV/f.u. The space group is C2/m. The density comes out at 8.27 g cm⁻³.

=====

- raw total energy of number 6 (Pr5Ho12Tm2)?
  -4.410 eV per atom

=====

- density of number 6 (Pr5Ho12Tm2)?
  7.94 g cm⁻³

=====

- Number 6 is which compound?
  Pr5Ho12Tm2